(1)
Here is Y5Hg2Pd2 after structural relaxation from the Alexandria database. Energies are from PBE.

Values from the calculation:
Crystal system = orthorhombic
Energy of formation from the pure elements = -0.598 eV per atom

Unit cell a=8.9067 b=8.9067 c=7.6057 alpha=90.00 beta=90.00 gamma=50.54
Atoms (fractional coordinates):
Y  0.0000  0.0000  0.0000
Y  0.0452  0.6972  0.6685
Y  0.1972  0.5452  0.1685
Y  0.3028  0.9548  0.6685
Y  0.4548  0.8028  0.1685
Y  0.5000  0.5000  0.5000
Y  0.5452  0.1972  0.8315
Y  0.6972  0.0452  0.3315
Y  0.8028  0.4548  0.8315
Y  0.9548  0.3028  0.3315
Hg  0.2139  0.2139  0.0000
Hg  0.2861  0.2861  0.5000
Hg  0.7139  0.7139  0.5000
Hg  0.7861  0.7861  0.0000
Pd  0.1292  0.8708  0.3690
Pd  0.3708  0.6292  0.8690
Pd  0.6292  0.3708  0.1310
Pd  0.8708  0.1292  0.6310

***

(2)
Here is Ac8Ir3SI3 after structural relaxation from the Alexandria database. Energies are from PBE.

Values from the calculation:
Crystal system = trigonal
Total DFT energy (no corrections) = -83.57 eV/cell

Unit cell a=9.8124 b=9.8124 c=9.8124 alpha=54.10 beta=54.10 gamma=54.10
Atoms (fractional coordinates):
Ac  0.2129  0.7395  0.7395
Ac  0.2289  0.2289  0.2289
Ac  0.2605  0.2605  0.7871
Ac  0.2605  0.7871  0.2605
Ac  0.7395  0.2129  0.7395
Ac  0.7395  0.7395  0.2129
Ac  0.7711  0.7711  0.7711
Ac  0.7871  0.2605  0.2605
Ir  0.0000  0.0000  0.5000
Ir  0.0000  0.5000  0.0000
Ir  0.5000  0.0000  0.0000
S  0.5000  0.5000  0.5000
I  0.0000  0.5000  0.5000
I  0.5000  0.0000  0.5000
I  0.5000  0.5000  0.0000

***

no.,volume (Å³ per atom)
1,25.9
2,38.4